Record 1
A plane-wave DFT calculation with PBE was carried out for an optimized crystal structure of TeIBrN2.

Unit cell a=4.363 b=4.363 c=8.553 alpha=90.00 beta=90.00 gamma=90.00
Space group P4/mmm (No. 123)
One atom of each set of equivalent atoms:
Te 0.000 0.000 0.000
I 0.500 0.500 0.000
Br 0.500 0.500 0.500
N 0.000 0.500 0.500

ΔE_f (raw)	2003	meV per atom
density of states at the Fermi level	0.819	states/eV/atom
V	32.563	Å³ per atom
total magnetic moment	3.50	μB/f.u.
distance to the lowest polymorph of the same formula	0.6222	eV per atom



Record 2
A plane-wave DFT calculation with PBE was carried out for an optimized crystal structure of Te2IBrN.

Unit cell a=5.613 b=5.613 c=5.735 alpha=90.00 beta=90.00 gamma=90.00
Space group P4/mmm (No. 123)
One atom of each set of equivalent atoms:
Te 0.000 0.500 0.000
I 0.000 0.000 0.500
Br 0.000 0.000 0.000
N 0.500 0.500 0.500

ΔE_f (raw)	2093	meV per atom
density of states at the Fermi level	2.914	states/eV/atom
V	36.131	Å³ per atom
total magnetic moment	0.00	μB/f.u.
distance to the lowest polymorph of the same formula	1.2063	eV per atom



Record 3
A plane-wave DFT calculation with PBE was carried out for an optimized crystal structure of TlI2BrN.

Unit cell a=6.181 b=6.181 c=4.542 alpha=90.00 beta=90.00 gamma=90.00
Space group P4/mmm (No. 123)
One atom of each set of equivalent atoms:
Tl 0.000 0.000 0.000
I 0.000 0.500 0.000
Br 0.500 0.500 0.500
N 0.000 0.000 0.500

ΔE_f (raw)	926	meV per atom
density of states at the Fermi level	0.904	states/eV/atom
V	34.701	Å³ per atom
total magnetic moment	3.35	μB/f.u.
distance to the lowest polymorph of the same formula	0.1641	eV per atom



Record 4
A plane-wave DFT calculation with PBE was carried out for an optimized crystal structure of TlI2BrN.

Unit cell a=7.020 b=7.020 c=3.714 alpha=90.00 beta=90.00 gamma=90.00
Space group P4/mmm (No. 123)
One atom of each set of equivalent atoms:
Tl 0.000 0.000 0.000
I 0.000 0.500 0.500
Br 0.500 0.500 0.500
N 0.500 0.500 0.000

ΔE_f (raw)	762	meV per atom
density of states at the Fermi level	1.204	states/eV/atom
V	36.613	Å³ per atom
total magnetic moment	0.00	μB/f.u.
distance to the lowest polymorph of the same formula	0.0000	eV per atom



Record 5
A plane-wave DFT calculation with PBE was carried out for an optimized crystal structure of WIBrN2.

Unit cell a=4.019 b=4.019 c=5.905 alpha=90.00 beta=90.00 gamma=90.00
Space group P4/mmm (No. 123)
One atom of each set of equivalent atoms:
W 0.000 0.000 0.000
I 0.000 0.000 0.500
Br 0.500 0.500 0.500
N 0.000 0.500 0.000

ΔE_f (raw)	699	meV per atom
density of states at the Fermi level	0.839	states/eV/atom
V	19.077	Å³ per atom
total magnetic moment	0.08	μB/f.u.
distance to the lowest polymorph of the same formula	0.0000	eV per atom



Record 6
A plane-wave DFT calculation with PBE was carried out for an optimized crystal structure of WI2BrN.

Unit cell a=6.182 b=6.182 c=3.655 alpha=90.00 beta=90.00 gamma=90.00
Space group P4/mmm (No. 123)
One atom of each set of equivalent atoms:
W 0.000 0.000 0.000
I 0.000 0.500 0.500
Br 0.500 0.500 0.500
N 0.500 0.500 0.000

ΔE_f (raw)	2161	meV per atom
density of states at the Fermi level	0.805	states/eV/atom
V	27.942	Å³ per atom
total magnetic moment	3.61	μB/f.u.
distance to the lowest polymorph of the same formula	1.7781	eV per atom